[1]
VASP calculation (PBE) on an optimized crystal structure of Li2CdAgCl.

Cell and atoms, written as POSCAR:
```
Li2CdAgCl
1.0
4.401 0.000 0.000
0.000 4.401 0.000
0.000 0.000 5.867
Li Cd Ag Cl
2 1 1 1
Cartesian
0.000 2.201 0.000
2.201 0.000 0.000
0.000 0.000 2.934
2.201 2.201 2.934
2.201 2.201 0.000
```

Computed properties:
Final energy: -11.28 eV per cell
Magnetic moment: 0.00 μB/atom
Space-group type: No. 123

***

[2]
VASP calculation (PBE) on an optimized crystal structure of Er5TePd2.

Cell and atoms, written as POSCAR:
```
Er5TePd2
1.0
-3.881 3.881 6.677
3.881 -3.881 6.677
3.881 3.881 -6.677
Er Te Pd
10 2 4
Cartesian
0.000 0.000 0.000
5.078 1.197 -1.887
1.197 2.684 -1.887
5.078 1.197 1.887
1.197 2.684 1.887
0.000 0.000 6.677
2.684 1.197 4.791
-1.197 2.684 4.791
2.684 1.197 8.564
-1.197 2.684 8.564
0.000 0.000 3.339
0.000 0.000 10.016
2.808 1.073 0.000
2.808 -1.073 6.677
1.073 4.954 0.000
1.073 2.808 6.677
```

Computed properties:
Final energy: -85.53 eV per cell
Magnetic moment: 0.00 μB/atom
Space-group type: No. 140

***

[3]
VASP calculation (PBE) on an optimized crystal structure of ClF3.

Cell and atoms, written as POSCAR:
```
ClF3
1.0
1.484 0.857 8.371
-1.484 0.857 8.371
0.000 -1.713 8.371
Cl F
1 3
Cartesian
0.000 0.000 0.000
0.000 0.000 1.724
0.000 0.000 12.556
0.000 0.000 23.389
```

Computed properties:
Final energy: -7.66 eV per cell
Magnetic moment: 0.30 μB/atom
Space-group type: No. 166

***

[4]
VASP calculation (PBE) on an optimized crystal structure of BeGa2O4.

Cell and atoms, written as POSCAR:
```
BeGa2O4
1.0
4.439 0.000 0.000
0.000 4.439 0.000
0.000 0.000 3.839
Be Ga O
1 2 4
Cartesian
0.000 0.000 0.000
0.000 2.220 1.920
2.220 0.000 1.920
0.992 0.992 0.896
0.992 3.447 2.943
3.447 0.992 2.943
3.447 3.447 0.896
```

Computed properties:
Final energy: -43.73 eV per cell
Magnetic moment: 0.00 μB/atom
Space-group type: No. 111

***

[5]
VASP calculation (PBE) on an optimized crystal structure of Er8Tm2Pb3.

Cell and atoms, written as POSCAR:
```
Er8Tm2Pb3
1.0
3.195 1.844 11.686
-3.195 1.844 11.686
0.000 -3.689 11.686
Er Tm Pb
8 2 3
Cartesian
0.000 -1.861 13.560
-1.611 0.930 13.560
0.000 0.000 7.948
-1.611 -0.930 21.499
1.611 0.930 13.560
0.000 0.000 27.111
1.611 -0.930 21.499
0.000 1.861 21.499
0.000 0.000 4.731
0.000 0.000 30.328
0.000 0.000 10.940
0.000 0.000 17.529
0.000 0.000 24.119
```

Computed properties:
Final energy: -55.23 eV per cell
Magnetic moment: 0.21 μB/atom
ΔH_f (0 K): 0.103 eV per atom
Space-group type: No. 166

***

[6]
VASP calculation (PBE) on an optimized crystal structure of PuPaAu.

Cell and atoms, written as POSCAR:
```
PuPaAu
1.0
-1.852 1.852 4.982
1.852 -1.852 4.982
1.852 1.852 -4.982
Pu Pa Au
1 1 1
Cartesian
0.000 0.000 0.000
0.000 0.000 3.456
0.000 0.000 6.746
```

Computed properties:
Final energy: -27.68 eV per cell
Magnetic moment: 2.22 μB/atom
ΔH_f (0 K): -0.190 eV per atom
Space-group type: No. 107

***

[7]
VASP calculation (PBE) on an optimized crystal structure of HfTlNi3.

Cell and atoms, written as POSCAR:
```
HfTlNi3
1.0
4.673 0.000 0.000
0.000 4.673 0.000
0.000 0.000 4.673
Hf Tl Ni
1 1 3
Cartesian
0.000 0.000 0.000
2.337 2.337 2.337
0.000 0.000 2.337
0.000 2.337 0.000
2.337 0.000 0.000
```

Computed properties:
Final energy: -24.86 eV per cell
Magnetic moment: 0.00 μB/atom
ΔH_f (0 K): 0.960 eV per atom
Space-group type: No. 221

***

[8]
VASP calculation (PBE) on an optimized crystal structure of TcSb4Os.

Cell and atoms, written as POSCAR:
```
TcSb4Os
1.0
4.293 -7.334 0.000
4.293 7.334 0.000
-4.149 0.000 4.291
Tc Sb Os
2 8 2
Cartesian
1.181 6.725 3.218
3.255 -6.725 1.073
1.195 4.558 1.584
1.605 0.850 1.097
-0.469 -0.850 3.242
5.315 4.558 0.562
-0.879 -4.558 3.729
4.906 0.850 1.049
2.831 -0.850 3.194
3.241 -4.558 2.707
3.255 2.968 1.073
1.181 -2.968 3.218
```

Computed properties:
Final energy: -76.05 eV per cell
Magnetic moment: 0.00 μB/atom
Space-group type: No. 15

***

[9]
VASP calculation (PBE) on an optimized crystal structure of AgBi2Pd5Au.

Cell and atoms, written as POSCAR:
```
AgBi2Pd5Au
1.0
2.103 -7.398 0.000
2.103 7.398 0.000
0.000 0.000 11.038
Ag Bi Pd Au
2 4 10 2
Cartesian
2.103 4.367 5.519
2.103 -4.367 0.000
2.103 6.727 8.821
2.103 4.577 1.863
2.103 -4.577 7.383
2.103 -6.727 3.302
2.103 7.328 6.040
2.103 3.907 9.045
2.103 1.861 1.856
2.103 1.668 4.840
2.103 1.028 7.516
2.103 -1.028 1.997
2.103 -1.668 10.359
2.103 -1.861 7.376
2.103 -3.907 3.526
2.103 -7.328 0.521
2.103 1.346 10.217
2.103 -1.346 4.698
```

Computed properties:
Final energy: -82.11 eV per cell
Magnetic moment: 0.00 μB/atom
ΔH_f (0 K): -0.133 eV per atom
Space-group type: No. 36

***

[10]
VASP calculation (PBE) on an optimized crystal structure of Cd4HgAu8.

Cell and atoms, written as POSCAR:
```
Cd4HgAu8
1.0
4.076 0.000 0.000
0.000 4.079 0.000
0.000 0.000 15.982
Cd Hg Au
4 1 8
Cartesian
0.000 0.000 0.000
0.000 2.040 6.771
2.038 0.000 13.357
2.038 2.040 4.344
0.000 2.040 11.085
0.000 0.000 4.494
0.000 0.000 8.923
0.000 2.040 2.174
0.000 2.040 13.812
2.038 0.000 2.213
2.038 0.000 6.622
2.038 2.040 8.930
2.038 2.040 15.904
```

Computed properties:
Final energy: -31.29 eV per cell
Magnetic moment: 0.00 μB/atom
ΔH_f (0 K): -0.085 eV per atom
Space-group type: No. 25

***

Which value of magnetic moment does entry 7 give?
0.00 μB/atom

***

Repeat the fourth record exactly.
VASP calculation (PBE) on an optimized crystal structure of BeGa2O4.

Cell and atoms, written as POSCAR:
```
BeGa2O4
1.0
4.439 0.000 0.000
0.000 4.439 0.000
0.000 0.000 3.839
Be Ga O
1 2 4
Cartesian
0.000 0.000 0.000
0.000 2.220 1.920
2.220 0.000 1.920
0.992 0.992 0.896
0.992 3.447 2.943
3.447 0.992 2.943
3.447 3.447 0.896
```

Computed properties:
Final energy: -43.73 eV per cell
Magnetic moment: 0.00 μB/atom
Space-group type: No. 111

***

Repeat the third record exactly.
VASP calculation (PBE) on an optimized crystal structure of ClF3.

Cell and atoms, written as POSCAR:
```
ClF3
1.0
1.484 0.857 8.371
-1.484 0.857 8.371
0.000 -1.713 8.371
Cl F
1 3
Cartesian
0.000 0.000 0.000
0.000 0.000 1.724
0.000 0.000 12.556
0.000 0.000 23.389
```

Computed properties:
Final energy: -7.66 eV per cell
Magnetic moment: 0.30 μB/atom
Space-group type: No. 166